Record 1
VASP calculation (GGA-PBE) on a relaxed GdErS crystal.

For the formation energy from raw total energies, the calculation gives -1.290 eV per atom.

It has space group P3m1 (No. 156), with a = 3.7620 Å, b = 3.7620 Å, c = 6.3571 Å, α = 90.00°, β = 90.00° and γ = 120.00°. The distinct sites, in fractional coordinates, are Gd at (0.0000, 0.0000, 0.0000), Er at (0.3333, 0.6667, 0.5284) and S at (0.6667, 0.3333, 0.2709).

=====

Record 2
VASP calculation (GGA-PBE) on a relaxed PHRuCl2 crystal.

It has space group P4/mmm (No. 123), with a = 4.971 Å, b = 4.971 Å, c = 4.435 Å, α = 90.00°, β = 90.00° and γ = 90.00°. The distinct sites, in fractional coordinates, are P at (0.000, 0.000, 0.000), H at (0.500, 0.500, 0.000), Ru at (0.000, 0.000, 0.500) and Cl at (0.000, 0.500, 0.500).

=====

Record 3
VASP calculation (GGA-PBE) on a relaxed La2CeErS4 crystal.

For the formation energy from raw total energies, the calculation gives -2.082 eV per atom.

It has space group P2/m (No. 10), with a = 7.016 Å, b = 4.025 Å, c = 7.047 Å, α = 90.00°, β = 109.16° and γ = 90.00°. The distinct sites, in fractional coordinates, are La at (0.000, 0.000, 0.000), La at (0.500, 0.500, 0.000), Ce at (0.000, 0.500, 0.500), Er at (0.500, 0.000, 0.500), S at (0.253, 0.000, 0.736) and S at (0.264, 0.500, 0.269).

=====

Per-record DFT total energy, Ry per atom: -0.6527; -0.2775; -0.4916